Entry 1:
Material: Li17CaNd
Method: DFT, PBE
State: optimized geometry

a = 7.5668 Å, b = 7.5668 Å, c = 7.5668 Å
α = 82.57°, β = 82.57°, γ = 82.57°
Element x y z (fractional)
Li  0.0070  0.4965  0.4965
Li  0.0498  0.0498  0.0498
Li  0.1449  0.1449  0.6532
Li  0.1449  0.6532  0.1449
Li  0.1511  0.4433  0.8509
Li  0.1511  0.8509  0.4433
Li  0.2467  0.2467  0.2467
Li  0.3053  0.7941  0.7941
Li  0.4433  0.1511  0.8509
Li  0.4433  0.8509  0.1511
Li  0.4965  0.0070  0.4965
Li  0.4965  0.4965  0.0070
Li  0.6532  0.1449  0.1449
Li  0.7941  0.3053  0.7941
Li  0.7941  0.7941  0.3053
Li  0.8509  0.1511  0.4433
Li  0.8509  0.4433  0.1511
Ca  0.7998  0.7998  0.7998
Nd  0.4898  0.4898  0.4898

Summary:
**Symmetry**: R3m, No. 160

Entry 2:
Material: LaHf2Ga2
Method: DFT, PBE
State: optimized geometry

a = 8.4349 Å, b = 8.4349 Å, c = 3.0336 Å
α = 90.00°, β = 90.00°, γ = 90.00°
Element x y z (fractional)
La  0.0000  0.0000  0.0000
La  0.5000  0.5000  0.0000
Hf  0.1268  0.3732  0.0000
Hf  0.3732  0.8732  0.0000
Hf  0.6268  0.1268  0.0000
Hf  0.8732  0.6268  0.0000
Ga  0.1687  0.6687  0.5000
Ga  0.3313  0.1687  0.5000
Ga  0.6687  0.8313  0.5000
Ga  0.8313  0.3313  0.5000

Summary:
**Symmetry**: P4/mbm, No. 127
**Polymorph energy (0 for the lowest one)**: 0.093 eV/atom

Number 1: formation energy from the elements 0.052 eV/atom. Number 2: formation energy from the elements -0.281 eV/atom.